Record 1
Mg6CdIn: relaxed, GGA-PBEsol.

M_tot = 0.0 μB/f.u.
DOS(E_F) = 3.3 states/eV per cell

Unit cell a=5.039 b=6.294 c=6.294 alpha=120.00 beta=90.00 gamma=90.00
Atoms (fractional coordinates):
1 Mg 0.500 0.834 0.667
2 Mg 0.000 0.663 0.831
3 Mg 0.500 0.333 0.166
4 Mg 0.000 0.169 0.337
5 Mg 0.000 0.169 0.831
6 Mg 0.500 0.834 0.166
7 Cd 0.500 0.333 0.667
8 In 0.000 0.667 0.333



Record 2
MgCdIn: relaxed, GGA-PBEsol.

M_tot = 0.0 μB/f.u.
DOS(E_F) = 1.1 states/eV per cell

Unit cell a=3.319 b=4.385 c=5.337 alpha=114.26 beta=108.12 gamma=90.00
Atoms (fractional coordinates):
1 In 0.666 0.666 0.332
2 Cd 0.000 0.000 0.000
3 Mg 0.334 0.334 0.668



Record 3
MgCdIn2: relaxed, GGA-PBEsol.

M_tot = 0.0 μB/f.u.
DOS(E_F) = 1.7 states/eV per cell

Unit cell a=4.513 b=4.513 c=5.507 alpha=114.19 beta=114.19 gamma=90.00
Atoms (fractional coordinates):
1 Mg 0.500 0.500 0.000
2 In 0.250 0.750 0.500
3 In 0.750 0.250 0.500
4 Cd 0.000 0.000 0.000



Record 4
Mg2CdIn: relaxed, GGA-PBEsol.

M_tot = 0.0 μB/f.u.
DOS(E_F) = 1.3 states/eV per cell

Unit cell a=4.418 b=4.418 c=5.456 alpha=113.88 beta=113.88 gamma=90.00
Atoms (fractional coordinates):
1 Cd 0.500 0.500 0.000
2 Mg 0.000 0.000 0.000
3 Mg 0.750 0.250 0.500
4 In 0.250 0.750 0.500



Record 5
Mg2CdIn: relaxed, GGA-PBEsol.

M_tot = 0.0 μB/f.u.
DOS(E_F) = 1.6 states/eV per cell

Unit cell a=3.183 b=3.183 c=8.791 alpha=90.00 beta=90.00 gamma=90.00
Atoms (fractional coordinates):
1 Mg 0.500 0.500 0.257
2 Mg 0.000 0.000 0.002
3 Cd 0.000 0.000 0.492
4 In 0.500 0.500 0.749



Record 6
Mg2CdIn: relaxed, GGA-PBEsol.

M_tot = 0.0 μB/f.u.
DOS(E_F) = 1.6 states/eV per cell

Unit cell a=3.283 b=3.283 c=9.692 alpha=80.25 beta=80.25 gamma=60.00
Atoms (fractional coordinates):
1 In 0.000 0.000 0.000
2 Mg 0.752 0.752 0.745
3 Mg 0.248 0.248 0.255
4 Cd 0.500 0.500 0.500



Record 7
MgCdIn2: relaxed, GGA-PBEsol.

M_tot = 0.0 μB/f.u.
DOS(E_F) = 1.9 states/eV per cell

Unit cell a=5.104 b=5.104 c=5.104 alpha=60.00 beta=60.00 gamma=60.00
Atoms (fractional coordinates):
1 Cd 0.500 0.500 0.500
2 In 0.000 0.000 0.000
3 In 0.750 0.750 0.750
4 Mg 0.250 0.250 0.250



Record 8
Mg2CdIn: relaxed, GGA-PBEsol.

M_tot = 0.0 μB/f.u.
DOS(E_F) = 1.5 states/eV per cell

Unit cell a=4.323 b=4.466 c=4.466 alpha=90.00 beta=90.00 gamma=90.00
Atoms (fractional coordinates):
1 In 0.500 0.000 0.000
2 Cd 0.500 0.500 0.500
3 Mg 0.000 0.500 0.000
4 Mg 0.000 0.000 0.500



Values for energy relative to the elements, meV per atom, ordered as above
-90 -71 -55 -98 -51 -86 5 -118